## MgInRe2 (GGA-PBEsol)

Data for a relaxed MgInRe2 crystal.

Output
symmetry	Pmmm (47)
E	-29.50	eV for the cell shown
spin magnetization	0.0	μB per formula unit
N(E_F)	0.504	states/eV/atom
calculated formation energy	466.3	meV/atom

POSCAR file:
```
MgInRe2
1.0
3.2085 0.0000 0.0000
0.0000 4.4336 0.0000
0.0000 0.0000 4.5500
Mg In Re
1 1 2
direct
0.0000 0.0000 0.0000 Mg
0.5000 0.5000 0.0000 In
0.0000 0.5000 0.5000 Re
0.5000 0.0000 0.5000 Re
```